a:
Here is a relaxed In2AgAs crystal from Alexandria via LeMat-Bulk. Energies are from PBE.

Cell lengths 5.127, 5.127, 5.946 Å; angles 101.24, 101.24, 36.27 degrees
Fractional coordinates of all 4 atoms:
In1 0.244 0.244 0.240
In2 0.756 0.756 0.760
Ag1 0.500 0.500 0.000
As1 0.000 0.000 0.500

ρ (g/cm³): 7.57
Space-group type: C2/m
Fermi-level density of states (states/eV/cell): 1.2
Total moment (μB/f.u.): 0.00

---

b:
Here is a relaxed In2AgAs crystal from Alexandria via LeMat-Bulk. Energies are from PBE.

Cell lengths 7.041, 7.041, 7.041 Å; angles 33.86, 33.86, 33.86 degrees
Fractional coordinates of all 4 atoms:
In1 0.247 0.247 0.247
In2 0.753 0.753 0.753
Ag1 0.000 0.000 0.000
As1 0.500 0.500 0.500

ρ (g/cm³): 7.09
Space-group type: R-3m
Fermi-level density of states (states/eV/cell): 1.2
Total moment (μB/f.u.): 0.00

---

Question: which arrangement is favored energetically? Ranking from most to least stable: b, a.

---

a:
Here is a relaxed In2AgAs crystal from Alexandria via LeMat-Bulk. Energies are from PBE.

Cell lengths 5.075, 5.075, 5.075 Å; angles 60.00, 60.00, 60.00 degrees
Fractional coordinates of all 4 atoms:
In1 0.000 0.000 0.000
In2 0.250 0.250 0.250
Ag1 0.750 0.750 0.750
As1 0.500 0.500 0.500

ρ (g/cm³): 7.41
Space-group type: F-43m
Fermi-level density of states (states/eV/cell): 1.0
Total moment (μB/f.u.): 0.00

---

b:
Here is a relaxed In2AgAs crystal from Alexandria via LeMat-Bulk. Energies are from PBE.

Cell lengths 5.439, 5.439, 5.439 Å; angles 130.92, 130.92, 71.93 degrees
Fractional coordinates of all 4 atoms:
In1 0.000 0.000 0.000
In2 0.750 0.250 0.500
Ag1 0.250 0.750 0.500
As1 0.500 0.500 0.000

ρ (g/cm³): 7.62
Space-group type: I-4m2
Fermi-level density of states (states/eV/cell): 1.9
Total moment (μB/f.u.): 0.00

---

c:
Here is a relaxed In2AgAs crystal from Alexandria via LeMat-Bulk. Energies are from PBE.

Cell lengths 6.469, 6.469, 6.469 Å; angles 152.15, 132.92, 55.59 degrees
Fractional coordinates of all 4 atoms:
In1 0.000 0.000 0.000
In2 0.695 0.195 0.500
Ag1 0.238 0.738 0.500
As1 0.443 0.443 0.000

ρ (g/cm³): 7.44
Space-group type: Imm2
Fermi-level density of states (states/eV/cell): 1.1
Total moment (μB/f.u.): 0.00

---

Question: which arrangement is favored energetically? Ranking from most to least stable: c, b, a.

---

a:
Here is a relaxed In2AgAs2 crystal from Alexandria via LeMat-Bulk. Energies are from PBE.

Cell lengths 6.646, 6.646, 6.646 Å; angles 138.57, 138.57, 60.04 degrees
Fractional coordinates of all 5 atoms:
In1 0.119 0.119 0.000
In2 0.881 0.881 0.000
Ag1 0.500 0.500 0.000
As1 0.250 0.750 0.500
As2 0.750 0.250 0.500

ρ (g/cm³): 6.36
Space-group type: I4/mmm
Fermi-level density of states (states/eV/cell): 1.6
Total moment (μB/f.u.): 0.00

---

b:
Here is a relaxed In2AgAs2 crystal from Alexandria via LeMat-Bulk. Energies are from PBE.

Cell lengths 7.568, 7.568, 4.030 Å; angles 90.00, 90.00, 90.00 degrees
Fractional coordinates of all 10 atoms:
In1 0.150 0.350 0.000
In2 0.350 0.850 0.000
In3 0.650 0.150 0.000
In4 0.850 0.650 0.000
Ag1 0.000 0.000 0.500
Ag2 0.500 0.500 0.500
As1 0.164 0.664 0.500
As2 0.336 0.164 0.500
As3 0.664 0.836 0.500
As4 0.836 0.336 0.500

ρ (g/cm³): 7.01
Space-group type: P4/mbm
Fermi-level density of states (states/eV/cell): 4.8
Total moment (μB/f.u.): 0.00

---

Question: which arrangement is favored energetically? Ranking from most to least stable: b, a.

---

a:
Here is a relaxed In3AgAs crystal from Alexandria via LeMat-Bulk. Energies are from PBE.

Cell lengths 5.287, 5.287, 5.287 Å; angles 90.00, 90.00, 90.00 degrees
Fractional coordinates of all 5 atoms:
In1 0.000 0.000 0.500
In2 0.000 0.500 0.000
In3 0.500 0.000 0.000
Ag1 0.000 0.000 0.000
As1 0.500 0.500 0.500

ρ (g/cm³): 5.92
Space-group type: Pm-3m
Fermi-level density of states (states/eV/cell): 3.6
Total moment (μB/f.u.): 0.00

---

b:
Here is a relaxed In3AgAs crystal from Alexandria via LeMat-Bulk. Energies are from PBE.

Cell lengths 5.407, 5.407, 5.407 Å; angles 90.00, 90.00, 90.00 degrees
Fractional coordinates of all 5 atoms:
In1 0.000 0.000 0.500
In2 0.000 0.500 0.000
In3 0.500 0.000 0.000
Ag1 0.500 0.500 0.500
As1 0.000 0.000 0.000

ρ (g/cm³): 5.54
Space-group type: Pm-3m
Fermi-level density of states (states/eV/cell): 2.1
Total moment (μB/f.u.): 0.00

---

Question: which arrangement is favored energetically? Ranking from most to least stable: a, b.

---

a:
Here is a relaxed KAgAs3 crystal from Alexandria via LeMat-Bulk. Energies are from PBE.

Cell lengths 5.167, 5.167, 5.167 Å; angles 90.00, 90.00, 90.00 degrees
Fractional coordinates of all 5 atoms:
K1 0.000 0.000 0.000
Ag1 0.500 0.500 0.500
As1 0.000 0.500 0.500
As2 0.500 0.000 0.500
As3 0.500 0.500 0.000

ρ (g/cm³): 4.48
Space-group type: Pm-3m
Fermi-level density of states (states/eV/cell): 4.1
Total moment (μB/f.u.): 0.00

---

b:
Here is a relaxed KAgAs3 crystal from Alexandria via LeMat-Bulk. Energies are from PBE.

Cell lengths 5.485, 5.485, 5.485 Å; angles 90.00, 90.00, 90.00 degrees
Fractional coordinates of all 5 atoms:
K1 0.000 0.000 0.000
Ag1 0.500 0.500 0.500
As1 0.000 0.000 0.500
As2 0.000 0.500 0.000
As3 0.500 0.000 0.000

ρ (g/cm³): 3.74
Space-group type: Pm-3m
Fermi-level density of states (states/eV/cell): 4.8
Total moment (μB/f.u.): 0.84

---

Question: which arrangement is favored energetically? Ranking from most to least stable: a, b.

---

a:
Here is a relaxed KAg2As2 crystal from Alexandria via LeMat-Bulk. Energies are from PBE.

Cell lengths 6.204, 6.204, 6.204 Å; angles 132.97, 132.97, 68.70 degrees
Fractional coordinates of all 5 atoms:
K1 0.000 0.000 0.000
Ag1 0.346 0.346 0.000
Ag2 0.654 0.654 0.000
As1 0.250 0.750 0.500
As2 0.750 0.250 0.500

ρ (g/cm³): 5.35
Space-group type: I4/mmm
Fermi-level density of states (states/eV/cell): 2.2
Total moment (μB/f.u.): 0.00

---

b:
Here is a relaxed KAg2As2 crystal from Alexandria via LeMat-Bulk. Energies are from PBE.

Cell lengths 8.549, 8.549, 2.974 Å; angles 90.00, 90.00, 90.00 degrees
Fractional coordinates of all 10 atoms:
K1 0.000 0.000 0.000
K2 0.500 0.500 0.000
Ag1 0.144 0.356 0.500
Ag2 0.356 0.856 0.500
Ag3 0.644 0.144 0.500
Ag4 0.856 0.644 0.500
As1 0.150 0.650 0.000
As2 0.350 0.150 0.000
As3 0.650 0.850 0.000
As4 0.850 0.350 0.000

ρ (g/cm³): 6.18
Space-group type: P4/mbm
Fermi-level density of states (states/eV/cell): 4.1
Total moment (μB/f.u.): 0.00

---

c:
Here is a relaxed KAg2As2 crystal from Alexandria via LeMat-Bulk. Energies are from PBE.

Cell lengths 6.328, 6.328, 6.328 Å; angles 137.15, 137.15, 62.21 degrees
Fractional coordinates of all 5 atoms:
K1 0.000 0.000 0.000
Ag1 0.250 0.750 0.500
Ag2 0.750 0.250 0.500
As1 0.385 0.385 0.000
As2 0.615 0.615 0.000

ρ (g/cm³): 5.80
Space-group type: I4/mmm
Fermi-level density of states (states/eV/cell): 2.0
Total moment (μB/f.u.): 0.00

---

Question: which arrangement is favored energetically? Ranking from most to least stable: c, a, b.

---

a:
Here is a relaxed KAgAs2Se crystal from Alexandria via LeMat-Bulk. Energies are from PBE.

Cell lengths 5.086, 5.086, 5.427 Å; angles 90.00, 90.00, 90.00 degrees
Fractional coordinates of all 5 atoms:
K1 0.000 0.000 0.000
Ag1 0.500 0.500 0.500
As1 0.000 0.500 0.500
As2 0.500 0.000 0.500
Se1 0.500 0.500 0.000

ρ (g/cm³): 4.45
Space-group type: P4/mmm
Fermi-level density of states (states/eV/cell): 3.7
Total moment (μB/f.u.): 0.77

---

b:
Here is a relaxed KAgAs2Se crystal from Alexandria via LeMat-Bulk. Energies are from PBE.

Cell lengths 5.539, 5.539, 5.591 Å; angles 90.00, 90.00, 90.00 degrees
Fractional coordinates of all 5 atoms:
K1 0.000 0.000 0.000
Ag1 0.500 0.500 0.500
As1 0.000 0.500 0.000
As2 0.500 0.000 0.000
Se1 0.000 0.000 0.500

ρ (g/cm³): 3.64
Space-group type: P4/mmm
Fermi-level density of states (states/eV/cell): 4.6
Total moment (μB/f.u.): 0.93

---

Question: which arrangement is favored energetically? Ranking from most to least stable: a, b.

---

a:
Here is a relaxed LaAg2As2 crystal from Alexandria via LeMat-Bulk. Energies are from PBE.

Cell lengths 6.930, 6.930, 6.930 Å; angles 144.88, 144.88, 50.52 degrees
Fractional coordinates of all 5 atoms:
La1 0.000 0.000 0.000
Ag1 0.250 0.750 0.500
Ag2 0.750 0.250 0.500
As1 0.392 0.392 0.000
As2 0.608 0.608 0.000

ρ (g/cm³): 7.64
Space-group type: I4/mmm
Fermi-level density of states (states/eV/cell): 2.4
Total moment (μB/f.u.): 0.00

---

b:
Here is a relaxed LaAg2As2 crystal from Alexandria via LeMat-Bulk. Energies are from PBE.

Cell lengths 5.891, 5.891, 5.891 Å; angles 131.16, 131.16, 71.56 degrees
Fractional coordinates of all 5 atoms:
La1 0.000 0.000 0.000
Ag1 0.359 0.359 0.000
Ag2 0.641 0.641 0.000
As1 0.250 0.750 0.500
As2 0.750 0.250 0.500

ρ (g/cm³): 7.39
Space-group type: I4/mmm
Fermi-level density of states (states/eV/cell): 2.0
Total moment (μB/f.u.): 0.00

---

Question: which arrangement is favored energetically? Ranking from most to least stable: a, b.

---

a:
Here is a relaxed LaAgAs3 crystal from Alexandria via LeMat-Bulk. Energies are from PBE.

Cell lengths 5.652, 5.652, 5.652 Å; angles 90.00, 90.00, 90.00 degrees
Fractional coordinates of all 5 atoms:
La1 0.000 0.000 0.000
Ag1 0.500 0.500 0.500
As1 0.000 0.000 0.500
As2 0.000 0.500 0.000
As3 0.500 0.000 0.000

ρ (g/cm³): 4.34
Space-group type: Pm-3m
Fermi-level density of states (states/eV/cell): 5.0
Total moment (μB/f.u.): 0.00

---

b:
Here is a relaxed LaAgAs3 crystal from Alexandria via LeMat-Bulk. Energies are from PBE.

Cell lengths 5.018, 5.018, 5.018 Å; angles 90.00, 90.00, 90.00 degrees
Fractional coordinates of all 5 atoms:
La1 0.000 0.000 0.000
Ag1 0.500 0.500 0.500
As1 0.000 0.500 0.500
As2 0.500 0.000 0.500
As3 0.500 0.500 0.000

ρ (g/cm³): 6.20
Space-group type: Pm-3m
Fermi-level density of states (states/eV/cell): 2.7
Total moment (μB/f.u.): 0.00

---

Question: which arrangement is favored energetically? Ranking from most to least stable: b, a.

---

a:
Here is a relaxed La2Ag2As crystal from Alexandria via LeMat-Bulk. Energies are from PBE.

Cell lengths 8.135, 8.135, 4.430 Å; angles 90.00, 90.00, 90.00 degrees
Fractional coordinates of all 10 atoms:
La1 0.175 0.325 0.000
La2 0.325 0.825 0.000
La3 0.675 0.175 0.000
La4 0.825 0.675 0.000
Ag1 0.123 0.623 0.500
Ag2 0.377 0.123 0.500
Ag3 0.623 0.877 0.500
Ag4 0.877 0.377 0.500
As1 0.000 0.000 0.000
As2 0.500 0.500 0.000

ρ (g/cm³): 6.44
Space-group type: P4/mbm
Fermi-level density of states (states/eV/cell): 7.9
Total moment (μB/f.u.): 0.00

---

b:
Here is a relaxed La2Ag2As crystal from Alexandria via LeMat-Bulk. Energies are from PBE.

Cell lengths 7.756, 7.756, 4.336 Å; angles 90.00, 90.00, 90.00 degrees
Fractional coordinates of all 10 atoms:
La1 0.179 0.321 0.000
La2 0.321 0.821 0.000
La3 0.679 0.179 0.000
La4 0.821 0.679 0.000
Ag1 0.125 0.625 0.500
Ag2 0.375 0.125 0.500
Ag3 0.625 0.875 0.500
Ag4 0.875 0.375 0.500
As1 0.000 0.000 0.500
As2 0.500 0.500 0.500

ρ (g/cm³): 7.24
Space-group type: P4/mbm
Fermi-level density of states (states/eV/cell): 7.6
Total moment (μB/f.u.): 0.00

---

Question: which arrangement is favored energetically? Ranking from most to least stable: b, a.

---

a:
Here is a relaxed La2Ag2As crystal from Alexandria via LeMat-Bulk. Energies are from PBE.

Cell lengths 5.768, 5.768, 5.768 Å; angles 118.09, 118.09, 93.35 degrees
Fractional coordinates of all 5 atoms:
La1 0.250 0.750 0.500
La2 0.750 0.250 0.500
Ag1 0.161 0.161 0.000
Ag2 0.839 0.839 0.000
As1 0.500 0.500 0.000

ρ (g/cm³): 6.77
Space-group type: I4/mmm
Fermi-level density of states (states/eV/cell): 5.7
Total moment (μB/f.u.): 0.00

---

b:
Here is a relaxed La2Ag2As crystal from Alexandria via LeMat-Bulk. Energies are from PBE.

Cell lengths 9.174, 9.174, 9.174 Å; angles 155.73, 155.73, 34.58 degrees
Fractional coordinates of all 5 atoms:
La1 0.097 0.097 0.000
La2 0.903 0.903 0.000
Ag1 0.250 0.750 0.500
Ag2 0.750 0.250 0.500
As1 0.500 0.500 0.000

ρ (g/cm³): 7.25
Space-group type: I4/mmm
Fermi-level density of states (states/eV/cell): 5.0
Total moment (μB/f.u.): 0.00

---

Question: which arrangement is favored energetically? Ranking from most to least stable: b, a.

---

a:
Here is a relaxed LaAgAsSe2 crystal from Alexandria via LeMat-Bulk. Energies are from PBE.

Cell lengths 5.740, 5.740, 5.817 Å; angles 90.00, 90.00, 90.00 degrees
Fractional coordinates of all 5 atoms:
La1 0.000 0.000 0.000
Ag1 0.500 0.500 0.500
As1 0.000 0.000 0.500
Se1 0.000 0.500 0.000
Se2 0.500 0.000 0.000

ρ (g/cm³): 4.16
Space-group type: P4/mmm
Fermi-level density of states (states/eV/cell): 4.8
Total moment (μB/f.u.): 1.35

---

b:
Here is a relaxed LaAgAsSe2 crystal from Alexandria via LeMat-Bulk. Energies are from PBE.

Cell lengths 5.103, 5.103, 4.956 Å; angles 90.00, 90.00, 90.00 degrees
Fractional coordinates of all 5 atoms:
La1 0.000 0.000 0.000
Ag1 0.500 0.500 0.500
As1 0.500 0.500 0.000
Se1 0.000 0.500 0.500
Se2 0.500 0.000 0.500

ρ (g/cm³): 6.17
Space-group type: P4/mmm
Fermi-level density of states (states/eV/cell): 4.0
Total moment (μB/f.u.): 0.00

---

Question: which arrangement is favored energetically? Ranking from most to least stable: b, a.

---

a:
Here is a relaxed Li2Ag2As crystal from Alexandria via LeMat-Bulk. Energies are from PBE.

Cell lengths 7.218, 7.218, 7.218 Å; angles 150.53, 150.53, 42.17 degrees
Fractional coordinates of all 5 atoms:
Li1 0.250 0.750 0.500
Li2 0.750 0.250 0.500
Ag1 0.102 0.102 0.000
Ag2 0.898 0.898 0.000
As1 0.500 0.500 0.000

ρ (g/cm³): 5.57
Space-group type: I4/mmm
Fermi-level density of states (states/eV/cell): 2.5
Total moment (μB/f.u.): 0.00

---

b:
Here is a relaxed Li2Ag2As crystal from Alexandria via LeMat-Bulk. Energies are from PBE.

Cell lengths 7.360, 7.360, 3.102 Å; angles 90.00, 90.00, 90.00 degrees
Fractional coordinates of all 10 atoms:
Li1 0.167 0.333 0.000
Li2 0.333 0.833 0.000
Li3 0.667 0.167 0.000
Li4 0.833 0.667 0.000
Ag1 0.133 0.633 0.500
Ag2 0.367 0.133 0.500
Ag3 0.633 0.867 0.500
Ag4 0.867 0.367 0.500
As1 0.000 0.000 0.500
As2 0.500 0.500 0.500

ρ (g/cm³): 6.02
Space-group type: P4/mbm
Fermi-level density of states (states/eV/cell): 2.9
Total moment (μB/f.u.): 0.00

---

Question: which arrangement is favored energetically? Ranking from most to least stable: b, a.